Crystalline TeIBr2 at its relaxed geometry. Source: Alexandria via LeMat-Bulk, functional PBE.

The calculation puts the polymorph energy (0 for the lowest one) at 231 meV per atom.

The structure belongs to space group R-3m (No. 166, hexagonal axes); the cell edges are 3.5755, 3.5755 and 41.1890 Å and the angles 90.00°, 90.00° and 120.00°. The distinct sites, in fractional coordinates, are Te at (0.0000, 0.0000, 0.0000), I at (0.0000, 0.0000, 0.5000) and Br at (0.0000, 0.0000, 0.0632).

***

Crystalline TeIBr at its relaxed geometry. Source: Alexandria via LeMat-Bulk, functional PBE.

The calculation puts the polymorph energy (0 for the lowest one) at 0 meV per atom.

The structure belongs to space group C2/m (No. 12); the cell edges are 13.662, 6.253 and 5.576 Å and the angles 90.00°, 90.03° and 90.00°. The distinct sites, in fractional coordinates, are Te at (0.112, 0.000, 0.000), I at (0.135, 0.500, 0.999) and Br at (0.132, 0.000, 0.500).

***

Crystalline TeI3Br at its relaxed geometry. Source: Alexandria via LeMat-Bulk, functional PBE.

The calculation puts the polymorph energy (0 for the lowest one) at 333 meV per atom.

The structure belongs to space group Pm-3m (No. 221); the cell edges are 5.966, 5.966 and 5.966 Å and the angles 90.00°, 90.00° and 90.00°. The distinct sites, in fractional coordinates, are Te at (0.000, 0.000, 0.000), I at (0.000, 0.000, 0.500) and Br at (0.500, 0.500, 0.500).

***

Crystalline Te4I5Br2 at its relaxed geometry. Source: Alexandria via LeMat-Bulk, functional PBE.

The structure belongs to space group P-1 (No. 2); the cell edges are 7.956, 7.959 and 9.823 Å and the angles 69.85°, 69.76° and 87.02°. The distinct sites, in fractional coordinates, are Te at (0.050, 0.051, 0.343), Te at (0.314, 0.315, 0.859), I at (0.000, 0.000, 0.000), I at (0.089, 0.575, 0.730), I at (0.425, 0.911, 0.270) and Br at (0.435, 0.435, 0.241).

***

Crystalline Te2IBr at its relaxed geometry. Source: Alexandria via LeMat-Bulk, functional PBE.

The calculation puts the polymorph energy (0 for the lowest one) at 0 meV per atom.

The structure belongs to space group R-3m (No. 166, hexagonal axes); the cell edges are 3.6677, 3.6677 and 32.5429 Å and the angles 90.00°, 90.00° and 120.00°. The distinct sites, in fractional coordinates, are Te at (0.0000, 0.0000, 0.0899), I at (0.0000, 0.0000, 0.0000) and Br at (0.0000, 0.0000, 0.5000).

***

Crystalline TeIBr2 at its relaxed geometry. Source: Alexandria via LeMat-Bulk, functional PBE.

The calculation puts the polymorph energy (0 for the lowest one) at 383 meV per atom.

The structure belongs to space group I-42d (No. 122); the cell edges are 8.469, 8.469 and 14.056 Å and the angles 90.00°, 90.00° and 90.00°. The distinct sites, in fractional coordinates, are Te at (0.000, 0.000, 0.000), I at (0.000, 0.000, 0.500) and Br at (0.001, 0.750, 0.125).

***

It is found that the formation energy (no corrections) values, taken in the order of the records, are 18, -31, 91, -42, 102, 77 kJ/mol of formula units.
It is found that the DOS(E_F) values, taken in the order of the records, are 10.40, 2.33, 9.07, 3.91, 10.06, 22.34 states/eV/cell.
It is found that the V values, taken in the order of the records, are 152, 119, 212, 546, 126, 252 Å³/f.u..